[1]
A relaxed Pm2HoRu crystal, computed with PBE. Values from VASP.

Properties
Offset from the most stable computed form in eV/atom: 0.000
Space group: No. 62

Structure (Quantum ESPRESSO input):
```
&SYSTEM
  ibrav = 0, nat = 16, ntyp = 3
/
ATOMIC_SPECIES
Ho 164.93 Ho.upf
Ru 101.07 Ru.upf
Pm 145.00 Pm.upf
ATOMIC_POSITIONS crystal
Ho 0.643 0.544 0.250
Ho 0.143 0.956 0.750
Ho 0.357 0.456 0.750
Ho 0.857 0.044 0.250
Ru 0.040 0.385 0.250
Ru 0.540 0.115 0.750
Ru 0.460 0.885 0.250
Ru 0.960 0.615 0.750
Pm 0.830 0.323 0.565
Pm 0.330 0.177 0.065
Pm 0.670 0.823 0.565
Pm 0.170 0.677 0.435
Pm 0.330 0.177 0.435
Pm 0.830 0.323 0.935
Pm 0.670 0.823 0.935
Pm 0.170 0.677 0.065
CELL_PARAMETERS angstrom
6.373 0.000 0.000
0.000 7.355 0.000
0.000 0.000 9.535
```

[2]
A relaxed TlInMo2 crystal, computed with PBE. Values from VASP.

Properties
Offset from the most stable computed form in eV/atom: 0.197
Space group: No. 8

Structure (Quantum ESPRESSO input):
```
&SYSTEM
  ibrav = 0, nat = 4, ntyp = 3
/
ATOMIC_SPECIES
Mo 95.94 Mo.upf
Tl 204.38 Tl.upf
In 114.82 In.upf
ATOMIC_POSITIONS crystal
Mo 0.031 0.031 0.994
Mo 0.718 0.718 0.758
Tl 0.486 0.486 0.533
In 0.264 0.264 0.214
CELL_PARAMETERS angstrom
5.480 0.009 0.063
4.500 3.127 0.063
1.669 0.524 4.681
```

[3]
A relaxed Al2CdRh crystal, computed with PBE. Values from VASP.

Properties
Space group: No. 139

Structure (Quantum ESPRESSO input):
```
&SYSTEM
  ibrav = 0, nat = 4, ntyp = 3
/
ATOMIC_SPECIES
Al 26.98 Al.upf
Rh 102.91 Rh.upf
Cd 112.41 Cd.upf
ATOMIC_POSITIONS crystal
Al 0.500 0.500 0.000
Al 0.000 0.000 0.000
Rh 0.750 0.250 0.500
Cd 0.250 0.750 0.500
CELL_PARAMETERS angstrom
-4.685 0.883 0.621
-2.378 -3.163 -2.731
3.474 -0.710 3.248
```

[4]
A relaxed PrHo2V crystal, computed with PBE. Values from VASP.

Properties
Offset from the most stable computed form in eV/atom: 0.422
Space group: No. 166

Structure (Quantum ESPRESSO input):
```
&SYSTEM
  ibrav = 0, nat = 4, ntyp = 3
/
ATOMIC_SPECIES
Pr 140.91 Pr.upf
V 50.94 V.upf
Ho 164.93 Ho.upf
ATOMIC_POSITIONS crystal
Pr 0.500 0.500 0.500
V 0.000 0.000 0.000
Ho 0.920 0.920 0.241
Ho 0.080 0.080 0.759
CELL_PARAMETERS angstrom
3.395 0.000 0.000
1.697 2.940 0.000
1.697 0.980 11.546
```

[5]
A relaxed Mg2ZnPd4 crystal, computed with PBE. Values from VASP.

Properties
Offset from the most stable computed form in eV/atom: 0.000
Space group: No. 139

Structure (Quantum ESPRESSO input):
```
&SYSTEM
  ibrav = 0, nat = 7, ntyp = 3
/
ATOMIC_SPECIES
Pd 106.42 Pd.upf
Mg 24.30 Mg.upf
Zn 65.41 Zn.upf
ATOMIC_POSITIONS crystal
Pd 0.500 0.000 0.000
Pd 0.500 0.500 0.500
Pd 0.000 0.000 0.500
Pd 0.000 0.500 0.000
Mg 0.500 0.000 0.500
Mg 0.500 0.500 0.000
Zn 0.000 0.000 0.000
CELL_PARAMETERS angstrom
4.974 -0.278 -1.920
-2.559 4.442 -1.489
-0.160 0.278 5.329
```

[6]
A relaxed Ca2Pr4Nd crystal, computed with PBE. Values from VASP.

Properties
Offset from the most stable computed form in eV/atom: 0.458
Space group: No. 139

Structure (Quantum ESPRESSO input):
```
&SYSTEM
  ibrav = 0, nat = 7, ntyp = 3
/
ATOMIC_SPECIES
Pr 140.91 Pr.upf
Ca 40.08 Ca.upf
Nd 144.24 Nd.upf
ATOMIC_POSITIONS crystal
Pr 0.000 0.500 0.000
Pr 0.500 0.000 0.000
Pr 0.174 0.174 0.347
Pr 0.826 0.826 0.653
Ca 0.374 0.374 0.748
Ca 0.626 0.626 0.252
Nd 0.000 0.000 0.000
CELL_PARAMETERS angstrom
-2.804 2.273 -4.583
-4.388 -3.756 0.822
-0.486 6.706 7.336
```

[7]
A relaxed CsSc3Ga crystal, computed with PBE. Values from VASP.

Properties
Offset from the most stable computed form in eV/atom: 1.023
Space group: No. 221

Structure (Quantum ESPRESSO input):
```
&SYSTEM
  ibrav = 0, nat = 5, ntyp = 3
/
ATOMIC_SPECIES
Cs 132.91 Cs.upf
Sc 44.96 Sc.upf
Ga 69.72 Ga.upf
ATOMIC_POSITIONS crystal
Cs 0.000 0.000 0.000
Sc 0.000 0.500 0.000
Sc 0.000 0.000 0.500
Sc 0.500 0.000 0.000
Ga 0.500 0.500 0.500
CELL_PARAMETERS angstrom
-3.595 -2.790 -2.620
3.798 -3.044 -1.970
-0.472 -3.243 4.102
```

Number 1: energy of formation -0.248 eV per atom. Number 2: energy of formation 0.524 eV per atom. Number 3: energy of formation -0.328 eV per atom. Number 4: energy of formation 0.622 eV per atom. Number 5: energy of formation -0.495 eV per atom. Number 6: energy of formation 0.559 eV per atom. Number 7: energy of formation 1.435 eV per atom.